(1)
Below is Y5ErP6 after structural relaxation, with properties calculated at the PBE level.

POSCAR file:
```
Y5ErP6
1.0
6.8582 0.1671 1.0418
1.6844 5.8184 3.3918
0.1151 0.0634 6.9388
Y P Er
5 6 1
Direct
0.5000 0.1670 0.6661 Y
0.0000 0.3334 0.3331 Y
0.5000 0.8330 0.3339 Y
0.5000 0.5000 0.0000 Y
0.0000 0.6666 0.6669 Y
0.7511 0.0829 0.3317 P
0.2489 0.9171 0.6683 P
0.7509 0.7514 0.0000 P
0.2491 0.2486 0.0000 P
0.2489 0.5854 0.3317 P
0.7511 0.4146 0.6683 P
0.0000 0.0000 0.0000 Er
```

Calculated values
**Energy relative to the elements**: -1.627 eV/atom
**Magnetic moment**: 0.0 μB/f.u.
**DOS at the Fermi energy**: 1.0 states/eV/cell

=====

(2)
Below is YEr5P6 after structural relaxation, with properties calculated at the PBE level.

POSCAR file:
```
YEr5P6
1.0
0.5256 3.4788 5.9199
5.1251 -2.6424 3.7698
6.3970 2.4601 -0.6776
Er Y P
5 1 6
Direct
0.5000 0.5000 0.0000 Er
0.5000 0.1664 0.6673 Er
0.5000 0.8336 0.3327 Er
0.0000 0.3332 0.3336 Er
0.0000 0.6668 0.6664 Er
0.0000 0.0000 0.0000 Y
0.7491 0.7486 0.0000 P
0.7489 0.0837 0.3349 P
0.2509 0.2514 0.0000 P
0.2511 0.9163 0.6651 P
0.7489 0.4186 0.6651 P
0.2511 0.5814 0.3349 P
```

Calculated values
**Energy relative to the elements**: -1.616 eV/atom
**Magnetic moment**: 0.0 μB/f.u.
**DOS at the Fermi energy**: 1.1 states/eV/cell

=====

(3)
Below is YErZr2P4 after structural relaxation, with properties calculated at the PBE level.

POSCAR file:
```
YErZr2P4
1.0
3.8383 0.0000 0.0000
0.0000 6.6529 0.1122
0.0000 -2.3309 6.3166
Y P Zr Er
1 4 2 1
Direct
0.0000 0.0000 0.0000 Y
0.0000 0.7528 0.2625 P
0.5000 0.7441 0.7365 P
0.0000 0.2472 0.7375 P
0.5000 0.2559 0.2635 P
0.0000 0.5000 0.5000 Zr
0.5000 0.0000 0.5000 Zr
0.5000 0.5000 0.0000 Er
```

Calculated values
**Energy relative to the elements**: -1.483 eV/atom
**Magnetic moment**: 0.0 μB/f.u.
**DOS at the Fermi energy**: 3.9 states/eV/cell

=====

(4)
Below is ErZrP2 after structural relaxation, with properties calculated at the PBE level.

POSCAR file:
```
ErZrP2
1.0
3.7825 0.0000 0.0000
1.8912 3.2757 0.0000
1.8912 1.0919 6.6133
Zr Er P
1 1 2
Direct
0.4971 0.4971 0.5088 Zr
0.6711 0.6711 0.9866 Er
0.0860 0.0860 0.7419 P
0.2458 0.2458 0.2627 P
```

Calculated values
**Energy relative to the elements**: -1.371 eV/atom
**Magnetic moment**: 0.0 μB/f.u.
**Energy above the lowest structure with this stoichiometry**: 0.114 eV per atom
**DOS at the Fermi energy**: 3.5 states/eV/cell

=====

(5)
Below is ErZr3P4 after structural relaxation, with properties calculated at the PBE level.

POSCAR file:
```
ErZr3P4
1.0
3.7855 -0.0473 0.0640
0.0481 6.3134 1.8391
-0.1063 0.3624 6.5652
P Zr Er
4 3 1
Direct
0.4999 0.2468 0.7466 P
0.0000 0.2433 0.2568 P
0.0000 0.7570 0.7431 P
0.5000 0.7534 0.2534 P
0.5000 0.0001 0.5000 Zr
0.9999 0.0001 0.0000 Zr
0.0000 0.5001 0.5000 Zr
0.5000 0.5001 0.0000 Er
```

Calculated values
**Energy relative to the elements**: -1.400 eV/atom
**Magnetic moment**: 0.0 μB/f.u.
**DOS at the Fermi energy**: 3.2 states/eV/cell

=====

(6)
Below is ErZrP2 after structural relaxation, with properties calculated at the PBE level.

POSCAR file:
```
ErZrP2
1.0
-2.5009 -4.7214 -1.0269
4.8129 -2.3321 -0.9990
-0.7297 2.1608 6.2554
Er P Zr
2 4 2
Direct
0.2500 0.7500 0.5000 Er
0.5000 0.5000 0.0000 Er
0.5039 0.0039 0.0077 P
0.2461 0.2461 0.4923 P
0.7539 0.7539 0.5077 P
0.9961 0.4961 0.9923 P
0.7500 0.2500 0.5000 Zr
0.0000 0.0000 0.0000 Zr
```

Calculated values
**Energy relative to the elements**: -1.462 eV/atom
**Magnetic moment**: 0.0 μB/f.u.
**Energy above the lowest structure with this stoichiometry**: 0.023 eV per atom
**DOS at the Fermi energy**: 3.4 states/eV/cell